ReTcS3: optimized geometry, PBE. Values from VASP.

Results
Distance to the lowest polymorph of the same formula (eV per atom): 0.285
SG: Pm-3m (221)
Uncorrected energy (eV/atom): -5.8387
D(E_F) (states/eV/cell): 5.2

Geometry as Quantum ESPRESSO input:
```
&SYSTEM
  ibrav = 0, nat = 5, ntyp = 3
/
ATOMIC_SPECIES
Re 186.21 Re.upf
S 32.06 S.upf
Tc 98.00 Tc.upf
CELL_PARAMETERS angstrom
4.613 0.000 0.000
0.000 4.613 0.000
0.000 0.000 4.613
ATOMIC_POSITIONS angstrom
Re 2.307 2.307 2.307
S 0.000 2.307 0.000
S 0.000 0.000 2.307
S 2.307 0.000 0.000
Tc 0.000 0.000 0.000
```



ReTcS3: optimized geometry, PBE. Values from VASP.

Results
Distance to the lowest polymorph of the same formula (eV per atom): 0.000
SG: Pm-3m (221)
Uncorrected energy (eV/atom): -6.1238
D(E_F) (states/eV/cell): 5.3

Geometry as Quantum ESPRESSO input:
```
&SYSTEM
  ibrav = 0, nat = 5, ntyp = 3
/
ATOMIC_SPECIES
Re 186.21 Re.upf
S 32.06 S.upf
Tc 98.00 Tc.upf
CELL_PARAMETERS angstrom
4.638 0.000 0.000
0.000 4.638 0.000
0.000 0.000 4.638
ATOMIC_POSITIONS angstrom
Re 0.000 0.000 0.000
S 0.000 2.319 0.000
S 0.000 0.000 2.319
S 2.319 0.000 0.000
Tc 2.319 2.319 2.319
```



ReTc2S2: optimized geometry, PBE. Values from VASP.

Results
Distance to the lowest polymorph of the same formula (eV per atom): 0.000
SG: I4/mmm (139)
Uncorrected energy (eV/atom): -7.7442
D(E_F) (states/eV/cell): 2.1

Geometry as Quantum ESPRESSO input:
```
&SYSTEM
  ibrav = 0, nat = 5, ntyp = 3
/
ATOMIC_SPECIES
Re 186.21 Re.upf
S 32.06 S.upf
Tc 98.00 Tc.upf
CELL_PARAMETERS angstrom
3.667 0.000 0.000
0.000 3.667 0.000
1.834 1.834 5.612
ATOMIC_POSITIONS angstrom
Re 0.000 0.000 0.000
S 3.667 1.834 2.806
S 1.834 3.667 2.806
Tc 1.834 1.834 1.296
Tc 3.667 3.667 4.316
```



Re2TcS: optimized geometry, PBE. Values from VASP.

Results
SG: I-42d (122)
Uncorrected energy (eV/atom): -9.0367
D(E_F) (states/eV/cell): 5.5

Geometry as Quantum ESPRESSO input:
```
&SYSTEM
  ibrav = 0, nat = 8, ntyp = 3
/
ATOMIC_SPECIES
Re 186.21 Re.upf
S 32.06 S.upf
Tc 98.00 Tc.upf
CELL_PARAMETERS angstrom
5.479 0.000 0.000
0.000 5.479 0.000
2.740 2.740 5.308
ATOMIC_POSITIONS angstrom
Re 3.991 1.370 1.327
Re 1.488 4.110 1.327
Re 4.110 4.228 3.981
Re 6.849 6.731 3.981
S 2.740 2.740 0.000
S 2.740 5.479 2.654
Tc 0.000 0.000 0.000
Tc 5.479 2.740 2.654
```



Uncorrected formation energy values, unit eV/atom, following the record order: 1.201 0.915 0.543 0.811.